The following is a PBE-GGA calculation of an optimized crystal structure of TlIn3Te, from Alexandria via LeMat-Bulk.

Structure (extended XYZ):
```
5
Lattice="-3.892 -1.661 -3.831 3.401 -4.299 -1.592 -2.422 -3.368 3.921" Properties=species:S:1:pos:R:3 pbc="T T T"
In 1.701 -2.150 -0.796
In -1.946 -0.830 -1.916
In -1.211 -1.684 1.961
Te -1.457 -4.664 -0.751
Tl 0.000 0.000 0.000
```

Values from the calculation:
total DFT energy (no corrections) = -2.460 eV per atom
space group = Pm-3m (221)
size of the total moment = 0.0 Bohr magnetons per cell
crystal system = cubic
formation energy without anion corrections = 0.28 eV/atom
offset from the most stable computed form = 0.00 kcal/mol of atoms